A plane-wave DFT calculation with PBE was carried out for Sn2HgPd2 after structural relaxation.

Geometry as POSCAR:
```
Sn2HgPd2
1.0
-2.0277 2.0277 6.8224
2.0277 -2.0277 6.8224
2.0277 2.0277 -6.8224
Sn Hg Pd
2 1 2
Direct
0.1165 0.1165 0.0000 Sn
0.8835 0.8835 0.0000 Sn
0.5000 0.5000 0.0000 Hg
0.2500 0.7500 0.5000 Pd
0.7500 0.2500 0.5000 Pd
```

Values from the calculation:
The relative energy among the computed polymorphs comes out at 0.1016 eV/atom. As for the energy of formation from the pure elements: -179 meV per atom. Its space group is I4/mmm (139). Its final energy is -19.6 eV for the cell shown.